(1)
First-principles (PBE-GGA) data for LaNd2In after structural relaxation, as listed in the Alexandria database.

POSCAR file:
```
LaNd2In
1.0
0.000 3.977 3.977
3.977 0.000 3.977
3.977 3.977 0.000
La Nd In
1 2 1
Direct
0.000 0.000 0.000
0.250 0.250 0.250
0.750 0.750 0.750
0.500 0.500 0.500
```

Summary:
As for the density of states at the Fermi level: 7.96 states/eV per cell. As for the space group: No. 225.



(2)
First-principles (PBE-GGA) data for LaNd2In after structural relaxation, as listed in the Alexandria database.

POSCAR file:
```
LaNd2In
1.0
3.725 0.000 0.000
0.000 3.725 0.000
0.000 0.000 9.388
La Nd In
1 2 1
Direct
0.000 0.000 0.000
0.500 0.500 0.277
0.500 0.500 0.723
0.000 0.000 0.500
```

Summary:
As for the density of states at the Fermi level: 4.23 states/eV per cell. As for the space group: No. 123.



(3)
First-principles (PBE-GGA) data for LaNd2In after structural relaxation, as listed in the Alexandria database.

POSCAR file:
```
LaNd2In
1.0
1.879 1.085 11.147
-1.879 1.085 11.147
0.000 -2.170 11.147
La Nd In
1 2 1
Direct
0.000 0.000 0.000
0.576 0.576 0.576
0.758 0.758 0.758
0.167 0.167 0.167
```

Summary:
As for the density of states at the Fermi level: 6.36 states/eV per cell. As for the space group: No. 160.



It is (2) that is most stable; the runner-up trails by 0.104 eV/atom.



(1)
First-principles (PBE-GGA) data for LaNd2In after structural relaxation, as listed in the Alexandria database.

POSCAR file:
```
LaNd2In
1.0
1.784 1.030 12.161
-1.784 1.030 12.161
0.000 -2.060 12.161
La Nd In
1 2 1
Direct
0.000 0.000 0.000
0.095 0.095 0.095
0.905 0.905 0.905
0.500 0.500 0.500
```

Summary:
As for the density of states at the Fermi level: 6.12 states/eV per cell. As for the space group: No. 166.



(2)
First-principles (PBE-GGA) data for LaNd2In after structural relaxation, as listed in the Alexandria database.

POSCAR file:
```
LaNd2In
1.0
5.037 0.000 0.000
0.000 5.037 0.000
0.000 0.000 4.959
La Nd In
1 2 1
Direct
0.000 0.000 0.000
0.000 0.500 0.500
0.500 0.000 0.500
0.500 0.500 0.000
```

Summary:
As for the density of states at the Fermi level: 6.62 states/eV per cell. As for the space group: No. 123.



It is (2) that is most stable; the runner-up trails by 0.293 eV/atom.



(1)
First-principles (PBE-GGA) data for LaNd3In2 after structural relaxation, as listed in the Alexandria database.

POSCAR file:
```
LaNd3In2
1.0
8.449 -2.761 0.000
8.449 2.761 0.000
-4.647 0.000 8.255
La Nd In
2 6 4
Direct
0.130 0.130 0.173
0.870 0.870 0.827
0.060 0.060 0.714
0.305 0.305 0.999
0.382 0.382 0.455
0.618 0.618 0.545
0.695 0.695 0.001
0.940 0.940 0.286
0.229 0.229 0.592
0.482 0.482 0.834
0.518 0.518 0.166
0.771 0.771 0.408
```

Summary:
As for the density of states at the Fermi level: 13.21 states/eV per cell. As for the space group: No. 12.



(2)
First-principles (PBE-GGA) data for LaNd3In2 after structural relaxation, as listed in the Alexandria database.

POSCAR file:
```
LaNd3In2
1.0
5.422 0.000 0.000
0.000 10.144 0.000
0.000 0.000 6.929
La Nd In
2 6 4
Direct
0.000 0.039 0.000
0.000 0.961 0.500
0.000 0.326 0.671
0.000 0.674 0.171
0.500 0.177 0.272
0.500 0.460 0.948
0.500 0.540 0.448
0.500 0.823 0.772
0.000 0.354 0.192
0.000 0.646 0.692
0.500 0.149 0.751
0.500 0.851 0.251
```

Summary:
As for the density of states at the Fermi level: 15.29 states/eV per cell. As for the space group: No. 26.



It is (2) that is most stable; the runner-up trails by 0.087 eV/atom.